A plane-wave DFT calculation with PBE was carried out for a geometry-optimized In3OsO structure.

## Properties
N(E_F): 2.567 states/eV/cell
Offset from the most stable computed form: 0 meV per atom
Crystal system: cubic
Energy relative to the elements, uncorrected: 304 meV per atom

Unit cell a=4.5004 b=4.5004 c=4.5004 alpha=90.00 beta=90.00 gamma=90.00
Atoms (fractional coordinates):
Os 0.5000 0.5000 0.5000
O 0.0000 0.0000 0.0000
In 0.0000 0.5000 0.0000
In 0.0000 0.0000 0.5000
In 0.5000 0.0000 0.0000